## Sr3ErFe2O9 (PBE+U)

Data for Sr3ErFe2O9 after structural relaxation.

Lattice parameters (Å, degrees): 5.6725 5.6725 7.0418 90.00 90.00 120.00
Closest atoms and distances in Å follow each position.
Space group P-3m1 (No. 164)
One atom of each set of equivalent atoms:
Sr  0.0000  0.0000  0.0000 x1  12 O 2.80-2.84
Sr  0.3333  0.6667  0.6902 x2  9 O 2.73-2.84
Er  0.0000  0.0000  0.5000 x1  6 O 2.16
Fe  0.3333  0.6667  0.1621 x2  6 O 1.89-2.00
O  0.0000  0.5000  0.0000 x3  2 Fe 2.00
O  0.1746  0.3491  0.3140 x6  1 Fe 1.89

M_tot: 0.506 μB per atom
Raw total energy: -6.56 eV/atom
DOS(E_F): 8.14 states/eV/cell